Compound: ErNi2SbO6
Source: the Alexandria database
Functional: PBE+U
Structure: relaxed

Cell: 5.315 5.315 5.702 Å, 62.23 62.22 59.99°
Site moments in Bohr magnetons follow the coordinates.
Element x y z (fractional)
O: 0.392 0.711 0.763  0.07
O: 0.135 0.392 0.763  0.07
O: 0.711 0.135 0.763  0.07
Er: 0.809 0.809 0.574  0.00
Ni: 0.521 0.521 0.437  1.77
Ni: 0.015 0.015 0.954  1.77
Sb: 0.319 0.319 0.042  0.00
O: 0.596 0.231 0.240  0.06
O: 0.932 0.596 0.240  0.06
O: 0.231 0.932 0.240  0.06

Magnetic moment in μB per atom: 0.400
Uncorrected energy in eV/cell: -62.27